1.
CsKAs2Br after structural relaxation, computed with PBE. Values from VASP.

Fermi-level density of states: 4.3 states/eV/cell
crystal system: tetragonal
E: -2.217 eV/atom
E_form (uncorrected): 0.368 eV per atom

Structure (Quantum ESPRESSO input):
```
&SYSTEM
  ibrav = 0, nat = 5, ntyp = 4
/
ATOMIC_SPECIES
Cs 132.91 Cs.upf
As 74.92 As.upf
K 39.10 K.upf
Br 79.90 Br.upf
ATOMIC_POSITIONS angstrom
Cs 0.000 0.000 0.000
As 0.000 3.146 0.000
As 3.146 0.000 0.000
K 3.146 3.146 3.382
Br 0.000 0.000 3.382
CELL_PARAMETERS angstrom
6.292 0.000 0.000
0.000 6.292 0.000
0.000 0.000 6.765
```

2.
Zr9N4O2 after structural relaxation, computed with PBE. Values from VASP.

Fermi-level density of states: 9.2 states/eV/cell
crystal system: trigonal
E: -9.645 eV/atom
E_form (uncorrected): -1.635 eV per atom

Structure (Quantum ESPRESSO input):
```
&SYSTEM
  ibrav = 0, nat = 30, ntyp = 3
/
ATOMIC_SPECIES
Zr 91.22 Zr.upf
N 14.01 N.upf
O 16.00 O.upf
ATOMIC_POSITIONS angstrom
Zr 1.896 6.590 3.897
Zr 1.896 3.305 3.914
Zr -0.949 4.948 3.906
Zr -1.896 3.346 11.775
Zr -1.896 6.631 11.758
Zr 0.949 4.988 11.767
Zr -0.907 4.966 14.396
Zr -0.937 1.771 14.413
Zr 1.845 3.342 14.405
Zr -0.907 5.010 9.137
Zr -0.937 8.206 9.121
Zr 1.845 6.634 9.129
Zr 0.907 4.970 1.276
Zr 0.937 8.165 1.260
Zr -1.845 6.594 1.268
Zr 0.907 4.925 6.535
Zr 0.937 1.730 6.551
Zr -1.845 3.301 6.543
N 0.000 6.610 7.749
N 0.000 6.651 15.611
N 0.000 3.326 7.923
N 0.000 6.624 10.542
N 0.000 3.285 0.062
N 0.000 3.352 12.992
N 0.000 6.583 2.680
N 0.000 3.312 5.131
O -2.844 4.995 13.137
O -2.844 4.981 10.397
O 2.844 4.940 2.536
O 2.844 4.955 5.275
CELL_PARAMETERS angstrom
2.845 4.927 -0.025
-2.845 4.927 -0.025
0.000 0.081 15.723
```